# 1
Entry from the Alexandria database: La2Nd6Sm3Al after structural relaxation (PBE).

Results
theoretical density: 6.77 Mg/m³
E: -4.714 eV/atom
crystal system: monoclinic
energy of formation from the pure elements: -0.018 eV/atom
space group: C2/m, No. 12

a = 6.2452 Å, b = 6.2452 Å, c = 11.9763 Å
α = 95.04°, β = 95.04°, γ = 120.08°
Fractional coordinates of all 12 atoms:
La: 0.1661 0.8339 0.0000
La: 0.8339 0.1661 0.0000
Nd: 0.0975 0.4185 0.7538
Nd: 0.2609 0.2609 0.2473
Nd: 0.4185 0.0975 0.7538
Nd: 0.5815 0.9025 0.2462
Nd: 0.7391 0.7391 0.7527
Nd: 0.9025 0.5815 0.2462
Sm: 0.0000 0.0000 0.5000
Sm: 0.3317 0.6683 0.5000
Sm: 0.6683 0.3317 0.5000
Al: 0.5000 0.5000 0.0000

# 2
Entry from the Alexandria database: LaNdAlSn after structural relaxation (PBE).

Results
theoretical density: 5.95 Mg/m³
E: -4.970 eV/atom
crystal system: orthorhombic
energy of formation from the pure elements: -0.610 eV/atom
space group: Amm2, No. 38

a = 4.3299 Å, b = 4.6827 Å, c = 11.8136 Å
α = 90.00°, β = 90.00°, γ = 90.00°
Fractional coordinates of all 8 atoms:
La: 0.0000 0.0000 0.0000
La: 0.0000 0.5000 0.5000
Nd: 0.5000 0.0000 0.2815
Nd: 0.5000 0.5000 0.7815
Al: 0.5000 0.0000 0.5644
Al: 0.5000 0.5000 0.0644
Sn: 0.0000 0.0000 0.7158
Sn: 0.0000 0.5000 0.2158

# 3
Entry from the Alexandria database: LaNdAlSn after structural relaxation (PBE).

Results
theoretical density: 6.22 Mg/m³
E: -4.833 eV/atom
crystal system: cubic
energy of formation from the pure elements: -0.472 eV/atom
space group: F-43m, No. 216

a = 7.7098 Å, b = 7.7098 Å, c = 7.7098 Å
α = 90.00°, β = 90.00°, γ = 90.00°
Fractional coordinates of all 16 atoms:
La: 0.0000 0.0000 0.0000
La: 0.0000 0.5000 0.5000
La: 0.5000 0.0000 0.5000
La: 0.5000 0.5000 0.0000
Nd: 0.0000 0.0000 0.5000
Nd: 0.0000 0.5000 0.0000
Nd: 0.5000 0.0000 0.0000
Nd: 0.5000 0.5000 0.5000
Al: 0.2500 0.2500 0.7500
Al: 0.2500 0.7500 0.2500
Al: 0.7500 0.2500 0.2500
Al: 0.7500 0.7500 0.7500
Sn: 0.2500 0.2500 0.2500
Sn: 0.2500 0.7500 0.7500
Sn: 0.7500 0.2500 0.7500
Sn: 0.7500 0.7500 0.2500

# 4
Entry from the Alexandria database: LaTbNdAl after structural relaxation (PBE).

Results
theoretical density: 6.60 Mg/m³
E: -4.577 eV/atom
crystal system: cubic
energy of formation from the pure elements: -0.060 eV/atom
space group: F-43m, No. 216

a = 7.7859 Å, b = 7.7859 Å, c = 7.7859 Å
α = 90.00°, β = 90.00°, γ = 90.00°
Fractional coordinates of all 16 atoms:
La: 0.0000 0.0000 0.0000
La: 0.0000 0.5000 0.5000
La: 0.5000 0.0000 0.5000
La: 0.5000 0.5000 0.0000
Tb: 0.2500 0.2500 0.2500
Tb: 0.2500 0.7500 0.7500
Tb: 0.7500 0.2500 0.7500
Tb: 0.7500 0.7500 0.2500
Nd: 0.0000 0.0000 0.5000
Nd: 0.0000 0.5000 0.0000
Nd: 0.5000 0.0000 0.0000
Nd: 0.5000 0.5000 0.5000
Al: 0.2500 0.2500 0.7500
Al: 0.2500 0.7500 0.2500
Al: 0.7500 0.2500 0.2500
Al: 0.7500 0.7500 0.7500